LiCu6Si, optimized geometry, DFT PBE-GGA; N(E_F) = 2.013 states/eV/f.u.; magnetization = 0.0 μB/cell; energy above the lowest structure with this stoichiometry = 25.6 kJ per mole of atoms; ΔE_f (raw) = 0.19 eV per atom; symmetry = R-3m; density = 5.88 g/cm³
1.0
-3.5256 0.9927 -3.3659
-2.7343 -4.1455 0.2883
-3.6872 1.5394 2.9630
Cu Si Li
6 1 1
direct
0.8472 0.4676 0.8472
0.4676 0.8472 0.8472
0.1528 0.5324 0.1528
0.1528 0.1528 0.5324
0.8472 0.8472 0.4676
0.5324 0.1528 0.1528
0.0000 0.0000 0.0000
0.5000 0.5000 0.5000



NaBe2Te, optimized geometry, DFT PBE-GGA; N(E_F) = 3.300 states/eV/f.u.; magnetization = 0.0 μB/cell; ΔE_f (raw) = 0.56 eV per atom; symmetry = I-42d; density = 3.37 g/cm³
1.0
7.6725 0.0000 0.0000
0.0000 7.6725 0.0000
3.8363 3.8363 2.8204
Be Na Te
4 2 2
direct
0.6851 0.1250 0.2500
0.3750 0.3149 0.7500
0.0649 0.6250 0.2500
0.8750 0.9351 0.7500
0.2500 0.7500 0.5000
0.5000 0.5000 0.0000
0.7500 0.2500 0.5000
0.0000 0.0000 0.0000



PmZnH, optimized geometry, DFT PBE-GGA; N(E_F) = 2.222 states/eV/f.u.; magnetization = 0.0 μB/cell; energy above the lowest structure with this stoichiometry = 0.0 kJ per mole of atoms; symmetry = R-3m; density = 6.42 g/cm³
1.0
-2.2720 2.1640 -2.5622
-1.9425 -1.8453 -3.0383
-7.5288 -0.9372 2.6822
H Pm Zn
2 2 2
direct
0.7026 0.7026 0.8922
0.2974 0.2974 0.1078
0.3981 0.3981 0.8056
0.6019 0.6019 0.1944
0.8412 0.8412 0.4764
0.1588 0.1588 0.5236



BaAl4Pd2, optimized geometry, DFT PBE-GGA; N(E_F) = 1.933 states/eV/f.u.; magnetization = 0.0 μB/cell; energy above the lowest structure with this stoichiometry = 17.1 kJ per mole of atoms; calculated formation energy = -359 meV per atom; symmetry = C2/m; density = 5.51 g/cm³
1.0
-2.0895 -5.2362 -1.6507
4.4836 -3.6333 -1.0978
0.8171 -4.4114 3.0745
Al Pd Ba
4 2 1
direct
0.0250 0.6109 0.6817
0.9750 0.3891 0.3183
0.6109 0.0250 0.6817
0.3891 0.9750 0.3183
0.4348 0.4348 0.8189
0.5652 0.5652 0.1811
0.0000 0.0000 0.0000



What did the fourth record say?
BaAl4Pd2, optimized geometry, DFT PBE-GGA; N(E_F) = 1.933 states/eV/f.u.; magnetization = 0.0 μB/cell; energy above the lowest structure with this stoichiometry = 17.1 kJ per mole of atoms; calculated formation energy = -359 meV per atom; symmetry = C2/m; density = 5.51 g/cm³
1.0
-2.0895 -5.2362 -1.6507
4.4836 -3.6333 -1.0978
0.8171 -4.4114 3.0745
Al Pd Ba
4 2 1
direct
0.0250 0.6109 0.6817
0.9750 0.3891 0.3183
0.6109 0.0250 0.6817
0.3891 0.9750 0.3183
0.4348 0.4348 0.8189
0.5652 0.5652 0.1811
0.0000 0.0000 0.0000